1.
The following is a PBE calculation of a relaxed InNiBr crystal, from Alexandria.

Structure (extended XYZ):
```
3
Lattice="4.556 0.000 0.000 2.278 3.946 0.000 2.278 1.315 3.720" Properties=species:S:1:pos:R:3 pbc="T T T"
In 4.556 2.630 1.860
Br 0.000 0.000 0.000
Ni 6.834 3.946 2.790
```

- Density of states at the Fermi level: 0.27 states/eV/atom
- SG: No. 216
- Magnetic moment: 0.00 μB/f.u.


2.
The following is a PBE calculation of a relaxed TcSn2I crystal, from Alexandria.

Structure (extended XYZ):
```
8
Lattice="-3.922 2.186 -4.870 -2.551 -6.076 -0.673 -7.974 -0.453 1.714" Properties=species:S:1:pos:R:3 pbc="T T T"
Sn -8.658 -2.395 -0.859
Tc -3.236 -1.945 -2.771
Sn -4.378 0.279 -2.220
Tc -6.880 -4.236 -0.865
I 0.000 0.000 0.000
I -7.566 -0.106 -2.963
Sn -4.463 -3.422 -1.079
Sn -11.393 -3.146 -3.498
```

- Density of states at the Fermi level: 0.61 states/eV/atom
- SG: No. 122
- Magnetic moment: 0.00 μB/f.u.


| no. | raw formation energy (eV per formula unit) |
| --- | --- |
| 1 | 0.52 |
| 2 | 2.35 |